Material: BaMg9Au2
Method: DFT, PBE
State: optimized geometry

Properties
- symmetry = No. 141
- DOS at the Fermi energy (states/eV/cell) = 13.36
- total moment (μB/cell) = 0.00
- formation energy from the elements (meV per atom) = -314

Cell lengths 7.7839, 9.3739, 9.3739 Å; angles 80.07, 65.47, 65.47 degrees
Closest atoms and distances in Å follow each position.
Sites, in units of the cell vectors:
Mg 0.1327 0.1758 0.4231  2 Au 2.88-2.89, 7 Mg 2.98-3.18
Mg 0.7500 0.5000 0.5000  4 Au 3.17, 8 Mg 3.18
Mg 0.6915 0.1758 0.5769  2 Au 2.88-2.89, 7 Mg 2.98-3.18
Mg 0.3058 0.0769 0.6758  2 Au 2.88-2.89, 7 Mg 2.98-3.18
Mg 0.1327 0.4231 0.1758  2 Au 2.88-2.89, 7 Mg 2.98-3.18
Mg 0.0184 0.6758 0.9231  2 Au 2.88-2.89, 7 Mg 2.98-3.18
Mg 0.4442 0.8242 0.4231  2 Au 2.88-2.89, 7 Mg 2.98-3.18
Mg 0.7316 0.8242 0.5769  2 Au 2.88-2.89, 7 Mg 2.98-3.18
Mg 0.0585 0.9231 0.3242  2 Au 2.88-2.89, 7 Mg 2.98-3.18
Mg 0.4442 0.4231 0.8242  2 Au 2.88-2.89, 7 Mg 2.98-3.18
Mg 0.6173 0.0769 0.3242  2 Au 2.88-2.89, 7 Mg 2.98-3.18
Mg 0.3058 0.6758 0.0769  2 Au 2.88-2.89, 7 Mg 2.98-3.18
Mg 0.7316 0.5769 0.8242  2 Au 2.88-2.89, 7 Mg 2.98-3.18
Mg 0.6173 0.3242 0.0769  2 Au 2.88-2.89, 7 Mg 2.98-3.18
Mg 0.0585 0.3242 0.9231  2 Au 2.88-2.89, 7 Mg 2.98-3.18
Mg 0.0184 0.9231 0.6758  2 Au 2.88-2.89, 7 Mg 2.98-3.18
Mg 0.0000 0.0000 0.0000  4 Au 3.17, 8 Mg 3.18
Mg 0.6915 0.5769 0.1758  2 Au 2.88-2.89, 7 Mg 2.98-3.18
Au 0.3750 0.7500 0.7500  10 Mg 2.88-3.17
Au 0.8750 0.2500 0.2500  10 Mg 2.88-3.17
Au 0.8750 0.7500 0.2500  10 Mg 2.88-3.17
Au 0.8750 0.2500 0.7500  10 Mg 2.88-3.17
Ba 0.5000 0.0000 0.0000  18 Mg 3.77-3.94, 4 Au 4.20
Ba 0.2500 0.5000 0.5000  18 Mg 3.77-3.94, 4 Au 4.20